The following is a DFT calculation (GGA-PBE) of ScTc2S after structural relaxation.

Summary:
Raw formation energy (eV per atom): -0.1427
Theoretical density (g cm⁻³): 6.688

Cell lengths 7.3522, 7.3522, 5.7722 Å; angles 50.44, 50.44, 90.00 degrees
Fractional positions:
1 Tc 0.5276 0.1250 0.2500
2 Tc 0.8750 0.7776 0.7500
3 Tc 0.3750 0.4724 0.7500
4 Tc 0.2224 0.6250 0.2500
5 Sc 0.0000 0.0000 0.0000
6 Sc 0.7500 0.2500 0.5000
7 S 0.2500 0.7500 0.5000
8 S 0.5000 0.5000 0.0000

---

The following is a DFT calculation (GGA-PBE) of Ba4Al after structural relaxation.

Summary:
Energy above the most stable polymorph in this dataset (meV/atom): 200.6
ΔH_f (0 K) (kJ per mole of atoms): 29
Theoretical density (g cm⁻³): 3.089

Cell lengths 9.5689, 9.5689, 9.5689 Å; angles 60.00, 60.00, 60.00 degrees
Fractional positions:
1 Ba 0.3632 0.3632 0.9104
2 Ba 0.9104 0.3632 0.3632
3 Ba 0.3632 0.9104 0.3632
4 Ba 0.8868 0.3396 0.8868
5 Ba 0.8868 0.8868 0.3396
6 Ba 0.3396 0.8868 0.8868
7 Ba 0.8868 0.8868 0.8868
8 Ba 0.3632 0.3632 0.3632
9 Al 0.5000 0.5000 0.5000
10 Al 0.7500 0.7500 0.7500

---

The following is a DFT calculation (GGA-PBE) of NiTe2SN after structural relaxation.

Summary:
Energy above the most stable polymorph in this dataset (meV/atom): 402.0
Raw formation energy (eV per atom): 1.0057
Theoretical density (g cm⁻³): 6.290

Cell lengths 5.3674, 5.3674, 3.2984 Å; angles 90.00, 90.00, 90.00 degrees
Fractional positions:
1 N 0.0000 0.0000 0.5000
2 Ni 0.5000 0.5000 0.5000
3 S 0.0000 0.0000 0.0000
4 Te 0.0000 0.5000 0.0000
5 Te 0.5000 0.0000 0.0000

---

The following is a DFT calculation (GGA-PBE) of Li2ZrGa after structural relaxation.

Summary:
ΔH_f (0 K) (kJ per mole of atoms): 8
Theoretical density (g cm⁻³): 3.733

Cell lengths 2.9158, 2.9158, 10.6964 Å; angles 82.17, 82.17, 60.00 degrees
Fractional positions:
1 Zr 0.0000 0.0000 0.0000
2 Li 0.0932 0.0932 0.7203
3 Li 0.9068 0.9068 0.2797
4 Ga 0.5000 0.5000 0.5000

---

The following is a DFT calculation (GGA-PBE) of KBNF2 after structural relaxation.

Summary:
Energy above the most stable polymorph in this dataset (meV/atom): 0.0
Raw formation energy (eV per atom): -1.2148
Theoretical density (g cm⁻³): 2.937

Cell lengths 4.5493, 4.5493, 2.7842 Å; angles 90.00, 90.00, 90.00 degrees
Site moments in Bohr magnetons follow the coordinates.
Fractional positions:
1 F 0.0000 0.5000 0.0000  0.16
2 F 0.5000 0.0000 0.0000  0.16
3 B 0.0000 0.0000 0.0000  -0.04
4 K 0.5000 0.5000 0.5000  0.00
5 N 0.0000 0.0000 0.5000  0.51

---

The following is a DFT calculation (GGA-PBE) of MgCdP2 after structural relaxation.

Summary:
Energy above the most stable polymorph in this dataset (meV/atom): 325.4
ΔH_f (0 K) (kJ per mole of atoms): 20
Theoretical density (g cm⁻³): 4.452

Cell lengths 4.7147, 4.7147, 4.7147 Å; angles 60.00, 60.00, 60.00 degrees
Fractional positions:
1 P 0.7500 0.7500 0.7500
2 P 0.2500 0.2500 0.2500
3 Mg 0.5000 0.5000 0.5000
4 Cd 0.0000 0.0000 0.0000

---

The following is a DFT calculation (GGA-PBE) of SrBi2Pt2 after structural relaxation.

Summary:
ΔH_f (0 K) (kJ per mole of atoms): -37
Theoretical density (g cm⁻³): 12.001

Cell lengths 7.9588, 7.9588, 3.9133 Å; angles 90.00, 90.00, 90.00 degrees
Fractional positions:
1 Bi 0.1648 0.6648 0.5000
2 Bi 0.6648 0.8352 0.5000
3 Bi 0.3352 0.1648 0.5000
4 Bi 0.8352 0.3352 0.5000
5 Pt 0.1265 0.3735 0.0000
6 Pt 0.8735 0.6265 0.0000
7 Pt 0.6265 0.1265 0.0000
8 Pt 0.3735 0.8735 0.0000
9 Sr 0.5000 0.5000 0.0000
10 Sr 0.0000 0.0000 0.0000

---

The following is a DFT calculation (GGA-PBE) of NbTl2Ru after structural relaxation.

Summary:
Energy above the most stable polymorph in this dataset (meV/atom): 213.7
ΔH_f (0 K) (kJ per mole of atoms): 82
Theoretical density (g cm⁻³): 11.759

Cell lengths 7.6989, 7.6989, 6.1551 Å; angles 51.29, 51.29, 90.00 degrees
Fractional positions:
1 Tl 0.6435 0.1250 0.2500
2 Tl 0.3750 0.3565 0.7500
3 Tl 0.1065 0.6250 0.2500
4 Tl 0.8750 0.8935 0.7500
5 Ru 0.0000 0.0000 0.0000
6 Ru 0.7500 0.2500 0.5000
7 Nb 0.5000 0.5000 0.0000
8 Nb 0.2500 0.7500 0.5000

---

The following is a DFT calculation (GGA-PBE) of TiAl2Ag2 after structural relaxation.

Summary:
Energy above the most stable polymorph in this dataset (meV/atom): 38.0
ΔH_f (0 K) (kJ per mole of atoms): 4
Theoretical density (g cm⁻³): 5.882

Cell lengths 3.8538, 3.8538, 6.6235 Å; angles 73.09, 73.09, 90.00 degrees
Fractional positions:
1 Ti 0.0000 0.0000 0.0000
2 Ag 0.7500 0.2500 0.5000
3 Ag 0.2500 0.7500 0.5000
4 Al 0.4002 0.4002 0.1996
5 Al 0.5998 0.5998 0.8004

---

The following is a DFT calculation (GGA-PBE) of HgPdBr after structural relaxation.

Summary:
Energy above the most stable polymorph in this dataset (meV/atom): 0.0
Raw formation energy (eV per atom): -0.1736
Theoretical density (g cm⁻³): 8.504

Cell lengths 5.4878, 5.0130, 5.5006 Å; angles 90.00, 93.08, 90.00 degrees
Fractional positions:
1 Br 0.2524 0.0000 0.2525
2 Br 0.7476 0.0000 0.7475
3 Hg 0.7075 0.5000 0.2951
4 Hg 0.2925 0.5000 0.7049
5 Pd 0.8002 0.5000 0.8024
6 Pd 0.1998 0.5000 0.1976

---

The following is a DFT calculation (GGA-PBE) of V2Ni9Sb after structural relaxation.

Summary:
Raw formation energy (eV per atom): -0.1738
Theoretical density (g cm⁻³): 8.767

Cell lengths 3.6198, 3.6198, 10.8685 Å; angles 90.00, 90.00, 90.00 degrees
Site moments in Bohr magnetons follow the coordinates.
Fractional positions:
1 Ni 0.0000 0.5000 0.5000  0.01
2 Ni 0.5000 0.5000 0.3417  -0.01
3 Ni 0.0000 0.5000 0.1835  0.01
4 Ni 0.5000 0.0000 0.5000  0.01
5 Ni 0.5000 0.0000 0.8165  0.01
6 Ni 0.5000 0.5000 0.0000  0.03
7 Ni 0.5000 0.5000 0.6583  -0.01
8 Ni 0.0000 0.5000 0.8165  0.01
9 Ni 0.5000 0.0000 0.1835  0.01
10 V 0.0000 0.0000 0.3358  0.12
11 V 0.0000 0.0000 0.6642  0.12
12 Sb 0.0000 0.0000 0.0000  0.00

---

The following is a DFT calculation (GGA-PBE) of ScPd6Au2 after structural relaxation.

Summary:
Energy above the most stable polymorph in this dataset (meV/atom): 223.0
ΔH_f (0 K) (kJ per mole of atoms): -21
Theoretical density (g cm⁻³): 11.262

Cell lengths 4.4889, 4.4889, 9.4650 Å; angles 76.28, 76.28, 60.00 degrees
Fractional positions:
1 Au 0.1005 0.1005 0.6986
2 Au 0.8995 0.8995 0.3014
3 Pd 0.3018 0.3018 0.0945
4 Pd 0.5950 0.5950 0.2149
5 Pd 0.8004 0.8004 0.5987
6 Pd 0.1996 0.1996 0.4013
7 Pd 0.4050 0.4050 0.7851
8 Pd 0.6982 0.6982 0.9055
9 Sc 0.0000 0.0000 0.0000

---

The following is a DFT calculation (GGA-PBE) of Li3B8C8 after structural relaxation.

Summary:
Energy above the most stable polymorph in this dataset (meV/atom): 32.3
ΔH_f (0 K) (kJ per mole of atoms): 4
Theoretical density (g cm⁻³): 2.300

Cell lengths 6.9265, 8.0519, 2.7370 Å; angles 90.00, 90.00, 105.85 degrees
Fractional positions:
1 Li 0.3342 0.7754 0.0000
2 Li 0.6658 0.2246 0.0000
3 Li 0.0000 0.5000 0.5000
4 B 0.9730 0.2031 0.5000
5 B 0.7436 0.5383 0.0000
6 B 0.2564 0.4617 0.0000
7 B 0.0270 0.7969 0.5000
8 B 0.5787 0.6452 0.5000
9 B 0.4213 0.3548 0.5000
10 B 0.2545 0.0484 0.0000
11 B 0.7455 0.9516 0.0000
12 C 0.3114 0.2565 0.0000
13 C 0.6593 0.4478 0.5000
14 C 0.9210 0.7183 0.0000
15 C 0.6886 0.7435 0.0000
16 C 0.7864 0.0464 0.5000
17 C 0.2136 0.9536 0.5000
18 C 0.3407 0.5522 0.5000
19 C 0.0790 0.2817 0.0000

---

The following is a DFT calculation (GGA-PBE) of UTlGe2O8 after structural relaxation.

Summary:
Raw formation energy (eV per atom): -1.7845
Theoretical density (g cm⁻³): 5.395

Cell lengths 5.7058, 5.7058, 7.8135 Å; angles 90.00, 90.00, 120.00 degrees
Site moments in Bohr magnetons follow the coordinates.
Fractional positions:
1 O 0.3345 0.1673 0.1603  0.01
2 O 0.1673 0.3345 0.8397  0.01
3 O 0.6667 0.3333 0.4717  0.36
4 O 0.3333 0.6667 0.5283  0.36
5 O 0.8327 0.1673 0.1603  0.01
6 O 0.8327 0.6655 0.1603  0.01
7 O 0.1673 0.8327 0.8397  0.01
8 O 0.6655 0.8327 0.8397  0.01
9 Ge 0.6667 0.3333 0.2491  -0.01
10 Ge 0.3333 0.6667 0.7509  -0.01
11 U 0.0000 0.0000 0.0000  -0.01
12 Tl 0.0000 0.0000 0.5000  0.05

---

The following is a DFT calculation (GGA-PBE) of Ca2AgMo after structural relaxation.

Summary:
Energy above the most stable polymorph in this dataset (meV/atom): 109.4
ΔH_f (0 K) (kJ per mole of atoms): 51
Theoretical density (g cm⁻³): 5.087

Cell lengths 5.5890, 5.5890, 3.0630 Å; angles 90.00, 90.00, 104.34 degrees
Fractional positions:
1 Mo 0.5000 0.0000 0.5000
2 Ag 0.0000 0.5000 0.5000
3 Ca 0.0000 0.0000 0.0000
4 Ca 0.5000 0.5000 0.0000

---

The following is a DFT calculation (GGA-PBE) of NaFeSi after structural relaxation.

Summary:
Raw formation energy (eV per atom): 0.0603
Theoretical density (g cm⁻³): 3.354

Cell lengths 5.3702, 3.7797, 2.6082 Å; angles 90.00, 90.00, 90.00 degrees
Site moments in Bohr magnetons follow the coordinates.
Fractional positions:
1 Fe 0.5000 0.0000 0.5000  0.99
2 Si 0.5000 0.5000 0.0000  -0.05
3 Na 0.0000 0.0000 0.0000  -0.01

---

The following is a DFT calculation (GGA-PBE) of KSr4Tl15 after structural relaxation.

Summary:
ΔH_f (0 K) (kJ per mole of atoms): -20
Theoretical density (g cm⁻³): 9.151

Cell lengths 4.9901, 4.9901, 25.1789 Å; angles 90.00, 90.00, 90.00 degrees
Fractional positions:
1 Sr 0.0000 0.0000 0.4004
2 Sr 0.0000 0.0000 0.7976
3 Sr 0.0000 0.0000 0.2024
4 Sr 0.0000 0.0000 0.5996
5 Tl 0.5000 0.0000 0.6990
6 Tl 0.5000 0.5000 0.0000
7 Tl 0.5000 0.5000 0.4016
8 Tl 0.0000 0.5000 0.5000
9 Tl 0.5000 0.0000 0.5000
10 Tl 0.5000 0.0000 0.1024
11 Tl 0.5000 0.5000 0.5984
12 Tl 0.5000 0.0000 0.3010
13 Tl 0.0000 0.5000 0.8976
14 Tl 0.0000 0.5000 0.1024
15 Tl 0.5000 0.0000 0.8976
16 Tl 0.5000 0.5000 0.7993
17 Tl 0.0000 0.5000 0.3010
18 Tl 0.0000 0.5000 0.6990
19 Tl 0.5000 0.5000 0.2007
20 K 0.0000 0.0000 0.0000

---

The following is a DFT calculation (GGA-PBE) of YCd2SnH after structural relaxation.

Summary:
Theoretical density (g cm⁻³): 7.205
Uncorrected energy (eV per atom): -3.38

Cell lengths 4.6503, 4.6503, 4.6195 Å; angles 90.00, 90.00, 90.00 degrees
Fractional positions:
1 Sn 0.5000 0.5000 0.5000
2 Y 0.0000 0.0000 0.5000
3 H 0.0000 0.0000 0.0000
4 Cd 0.5000 0.0000 0.0000
5 Cd 0.0000 0.5000 0.0000

---

The following is a DFT calculation (GGA-PBE) of ScPPt3 after structural relaxation.

Summary:
Energy above the most stable polymorph in this dataset (meV/atom): 0.0
ΔH_f (0 K) (kJ per mole of atoms): -43
Theoretical density (g cm⁻³): 11.754

Cell lengths 4.5373, 4.5373, 4.5373 Å; angles 90.00, 90.00, 90.00 degrees
Fractional positions:
1 Pt 0.0000 0.5000 0.0000
2 Pt 0.5000 0.0000 0.0000
3 Pt 0.0000 0.0000 0.5000
4 P 0.0000 0.0000 0.0000
5 Sc 0.5000 0.5000 0.5000

---

The following is a DFT calculation (GGA-PBE) of InGe3N after structural relaxation.

Summary:
Energy above the most stable polymorph in this dataset (meV/atom): 0.0
Raw formation energy (eV per atom): 0.5841
Theoretical density (g cm⁻³): 6.347

Cell lengths 4.4932, 4.4932, 4.4932 Å; angles 90.00, 90.00, 90.00 degrees
Fractional positions:
1 Ge 0.0000 0.0000 0.5000
2 Ge 0.0000 0.5000 0.0000
3 Ge 0.5000 0.0000 0.0000
4 In 0.5000 0.5000 0.5000
5 N 0.0000 0.0000 0.0000